i.
The following is a GGA-PBEsol calculation of a geometry-optimized AlCdP2 structure, from Alexandria.

CIF file:
```
data_AlCdP2
_chemical_formula_sum 'Al3 Cd3 P6'
_space_group_name_H-M_alt 'R 3 m'
_space_group_IT_number 160
_space_group_name_Hall 'R 3 -2"'
_cell_length_a 3.0060
_cell_length_b 3.0060
_cell_length_c 27.6332
_cell_angle_alpha 90.00
_cell_angle_beta 90.00
_cell_angle_gamma 120.00
loop_
_atom_site_label
_atom_site_type_symbol
_atom_site_fract_x
_atom_site_fract_y
_atom_site_fract_z
Al1 Al 0.0000 0.0000 0.0000
Cd1 Cd 0.0000 0.0000 0.7508
P1 P 0.0000 0.0000 0.2703
P2 P 0.0000 0.0000 0.4956
```

---

ii.
The following is a GGA-PBEsol calculation of a geometry-optimized AlCdP2 structure, from Alexandria.

CIF file:
```
data_AlCdP2
_chemical_formula_sum 'Al2 Cd2 P4'
_space_group_name_H-M_alt 'C 1 m 1'
_space_group_IT_number 8
_cell_length_a 7.220
_cell_length_b 3.518
_cell_length_c 6.175
_cell_angle_alpha 90.00
_cell_angle_beta 92.62
_cell_angle_gamma 90.00
loop_
_space_group_symop_operation_xyz
'x,y,z'
'x,-y,z'
'x+1/2,y+1/2,z'
'x+1/2,-y+1/2,z'
loop_
_atom_site_label
_atom_site_type_symbol
_atom_site_fract_x
_atom_site_fract_y
_atom_site_fract_z
Al1 Al 0.000 0.000 0.000
Cd1 Cd 0.288 0.500 0.495
P1 P 0.294 0.000 0.836
P2 P 0.487 0.000 0.270
```

---

Which is the most stable structure? ii is the most stable.

---

i.
The following is a GGA-PBEsol calculation of a geometry-optimized Al2CdPb structure, from Alexandria.

CIF file:
```
data_Al2CdPb
_chemical_formula_sum 'Al2 Cd1 Pb1'
_space_group_name_H-M_alt 'P m m m'
_space_group_IT_number 47
_cell_length_a 3.483
_cell_length_b 4.991
_cell_length_c 5.085
_cell_angle_alpha 90.00
_cell_angle_beta 90.00
_cell_angle_gamma 90.00
loop_
_space_group_symop_operation_xyz
'x,y,z'
'-x,-y,-z'
'-x,-y,z'
'x,y,-z'
'x,-y,-z'
'-x,y,z'
'-x,y,-z'
'x,-y,z'
loop_
_atom_site_label
_atom_site_type_symbol
_atom_site_fract_x
_atom_site_fract_y
_atom_site_fract_z
Al1 Al 0.000 0.000 0.000
Al2 Al 0.500 0.000 0.500
Cd1 Cd 0.000 0.500 0.500
Pb1 Pb 0.500 0.500 0.000
```

---

ii.
The following is a GGA-PBEsol calculation of a geometry-optimized Al2CdPb structure, from Alexandria.

CIF file:
```
data_Al2CdPb
_chemical_formula_sum 'Al4 Cd2 Pb2'
_space_group_name_H-M_alt 'C 1 m 1'
_space_group_IT_number 8
_cell_length_a 8.956
_cell_length_b 3.171
_cell_length_c 6.298
_cell_angle_alpha 90.00
_cell_angle_beta 98.95
_cell_angle_gamma 90.00
loop_
_space_group_symop_operation_xyz
'x,y,z'
'x,-y,z'
'x+1/2,y+1/2,z'
'x+1/2,-y+1/2,z'
loop_
_atom_site_label
_atom_site_type_symbol
_atom_site_fract_x
_atom_site_fract_y
_atom_site_fract_z
Al1 Al 0.000 0.000 0.000
Al2 Al 0.238 0.500 0.185
Cd1 Cd 0.257 0.000 0.777
Pb1 Pb 0.496 0.000 0.472
```

---

iii.
The following is a GGA-PBEsol calculation of a geometry-optimized Al2CdPb structure, from Alexandria.

CIF file:
```
data_Al2CdPb
_chemical_formula_sum 'Al2 Cd1 Pb1'
_space_group_name_H-M_alt 'P 4 m m'
_space_group_IT_number 99
_cell_length_a 3.210
_cell_length_b 3.210
_cell_length_c 8.317
_cell_angle_alpha 90.00
_cell_angle_beta 90.00
_cell_angle_gamma 90.00
loop_
_space_group_symop_operation_xyz
'x,y,z'
'-y,x,z'
'-x,-y,z'
'y,-x,z'
'-x,y,z'
'y,x,z'
'x,-y,z'
'-y,-x,z'
loop_
_atom_site_label
_atom_site_type_symbol
_atom_site_fract_x
_atom_site_fract_y
_atom_site_fract_z
Al1 Al 0.000 0.000 0.000
Al2 Al 0.500 0.500 0.196
Cd1 Cd 0.500 0.500 0.769
Pb1 Pb 0.000 0.000 0.470
```

---

Which is the most stable structure? iii is the most stable.

---

i.
The following is a GGA-PBEsol calculation of a geometry-optimized AlCdPb structure, from Alexandria.

CIF file:
```
data_AlCdPb
_chemical_formula_sum 'Al1 Cd1 Pb1'
_space_group_name_H-M_alt 'P 3 m 1'
_space_group_IT_number 156
_cell_length_a 4.8064
_cell_length_b 4.8064
_cell_length_c 3.5623
_cell_angle_alpha 90.00
_cell_angle_beta 90.00
_cell_angle_gamma 120.00
loop_
_space_group_symop_operation_xyz
'x,y,z'
'-y,x-y,z'
'-x+y,-x,z'
'-y,-x,z'
'-x+y,y,z'
'x,x-y,z'
loop_
_atom_site_label
_atom_site_type_symbol
_atom_site_fract_x
_atom_site_fract_y
_atom_site_fract_z
Al1 Al 0.0000 0.0000 0.0000
Cd1 Cd 0.3333 0.6667 0.0089
Pb1 Pb 0.6667 0.3333 0.5047
```

---

ii.
The following is a GGA-PBEsol calculation of a geometry-optimized AlCdPb structure, from Alexandria.

CIF file:
```
data_AlCdPb
_chemical_formula_sum 'Al4 Cd4 Pb4'
_space_group_name_H-M_alt 'F -4 3 m'
_space_group_IT_number 216
_space_group_name_Hall 'F -4 2 3'
_cell_length_a 6.775
_cell_length_b 6.775
_cell_length_c 6.775
_cell_angle_alpha 90.00
_cell_angle_beta 90.00
_cell_angle_gamma 90.00
loop_
_atom_site_label
_atom_site_type_symbol
_atom_site_fract_x
_atom_site_fract_y
_atom_site_fract_z
Al1 Al 0.000 0.000 0.000
Cd1 Cd 0.250 0.250 0.750
Pb1 Pb 0.000 0.000 0.500
```

---

Which is the most stable structure? i is the most stable.

---

i.
The following is a GGA-PBEsol calculation of a geometry-optimized AlCdSb2 structure, from Alexandria.

CIF file:
```
data_AlCdSb2
_chemical_formula_sum 'Al4 Cd4 Sb8'
_space_group_name_H-M_alt 'F m -3 m'
_space_group_IT_number 225
_space_group_name_Hall '-F 4 2 3'
_cell_length_a 7.183
_cell_length_b 7.183
_cell_length_c 7.183
_cell_angle_alpha 90.00
_cell_angle_beta 90.00
_cell_angle_gamma 90.00
loop_
_atom_site_label
_atom_site_type_symbol
_atom_site_fract_x
_atom_site_fract_y
_atom_site_fract_z
Al1 Al 0.000 0.000 0.000
Cd1 Cd 0.000 0.000 0.500
Sb1 Sb 0.250 0.250 0.250
```

---

ii.
The following is a GGA-PBEsol calculation of a geometry-optimized AlCdSb2 structure, from Alexandria.

CIF file:
```
data_AlCdSb2
_chemical_formula_sum 'Al2 Cd2 Sb4'
_space_group_name_H-M_alt 'I m m m'
_space_group_IT_number 71
_space_group_name_Hall '-I 2 2'
_cell_length_a 3.875
_cell_length_b 4.284
_cell_length_c 11.606
_cell_angle_alpha 90.00
_cell_angle_beta 90.00
_cell_angle_gamma 90.00
loop_
_atom_site_label
_atom_site_type_symbol
_atom_site_fract_x
_atom_site_fract_y
_atom_site_fract_z
Al1 Al 0.000 0.000 0.000
Cd1 Cd 0.000 0.000 0.500
Sb1 Sb 0.000 0.500 0.313
```

---

iii.
The following is a GGA-PBEsol calculation of a geometry-optimized AlCdSb2 structure, from Alexandria.

CIF file:
```
data_AlCdSb2
_chemical_formula_sum 'Al1 Cd1 Sb2'
_space_group_name_H-M_alt 'P 1 2/m 1'
_space_group_IT_number 10
_cell_length_a 3.049
_cell_length_b 4.013
_cell_length_c 8.092
_cell_angle_alpha 90.00
_cell_angle_beta 94.98
_cell_angle_gamma 90.00
loop_
_space_group_symop_operation_xyz
'x,y,z'
'-x,-y,-z'
'-x,y,-z'
'x,-y,z'
loop_
_atom_site_label
_atom_site_type_symbol
_atom_site_fract_x
_atom_site_fract_y
_atom_site_fract_z
Al1 Al 0.000 0.000 0.000
Cd1 Cd 0.500 0.000 0.500
Sb1 Sb 0.258 0.500 0.235
```

---

iv.
The following is a GGA-PBEsol calculation of a geometry-optimized AlCdSb2 structure, from Alexandria.

CIF file:
```
data_AlCdSb2
_chemical_formula_sum 'Al1 Cd1 Sb2'
_space_group_name_H-M_alt 'P m m m'
_space_group_IT_number 47
_cell_length_a 3.903
_cell_length_b 4.826
_cell_length_c 4.930
_cell_angle_alpha 90.00
_cell_angle_beta 90.00
_cell_angle_gamma 90.00
loop_
_space_group_symop_operation_xyz
'x,y,z'
'-x,-y,-z'
'-x,-y,z'
'x,y,-z'
'x,-y,-z'
'-x,y,z'
'-x,y,-z'
'x,-y,z'
loop_
_atom_site_label
_atom_site_type_symbol
_atom_site_fract_x
_atom_site_fract_y
_atom_site_fract_z
Al1 Al 0.000 0.000 0.000
Cd1 Cd 0.000 0.500 0.500
Sb1 Sb 0.500 0.000 0.500
Sb2 Sb 0.500 0.500 0.000
```

---

Which is the most stable structure? iii is the most stable.

---

i.
The following is a GGA-PBEsol calculation of a geometry-optimized AlCd3Sb structure, from Alexandria.

CIF file:
```
data_AlCd3Sb
_chemical_formula_sum 'Al1 Cd3 Sb1'
_space_group_name_H-M_alt 'P m -3 m'
_space_group_IT_number 221
_space_group_name_Hall '-P 4 2 3'
_cell_length_a 5.498
_cell_length_b 5.498
_cell_length_c 5.498
_cell_angle_alpha 90.00
_cell_angle_beta 90.00
_cell_angle_gamma 90.00
loop_
_atom_site_label
_atom_site_type_symbol
_atom_site_fract_x
_atom_site_fract_y
_atom_site_fract_z
Al1 Al 0.000 0.000 0.000
Cd1 Cd 0.000 0.500 0.500
Sb1 Sb 0.500 0.500 0.500
```

---

ii.
The following is a GGA-PBEsol calculation of a geometry-optimized AlCd3Sb structure, from Alexandria.

CIF file:
```
data_AlCd3Sb
_chemical_formula_sum 'Al1 Cd3 Sb1'
_space_group_name_H-M_alt 'P m -3 m'
_space_group_IT_number 221
_space_group_name_Hall '-P 4 2 3'
_cell_length_a 5.102
_cell_length_b 5.102
_cell_length_c 5.102
_cell_angle_alpha 90.00
_cell_angle_beta 90.00
_cell_angle_gamma 90.00
loop_
_atom_site_label
_atom_site_type_symbol
_atom_site_fract_x
_atom_site_fract_y
_atom_site_fract_z
Al1 Al 0.000 0.000 0.000
Cd1 Cd 0.000 0.000 0.500
Sb1 Sb 0.500 0.500 0.500
```

---

Which is the most stable structure? ii is the most stable.

---

i.
The following is a GGA-PBEsol calculation of a geometry-optimized AlTlCd2 structure, from Alexandria.

CIF file:
```
data_AlTlCd2
_chemical_formula_sum 'Al1 Tl1 Cd2'
_space_group_name_H-M_alt 'P m m m'
_space_group_IT_number 47
_cell_length_a 3.061
_cell_length_b 5.276
_cell_length_c 5.534
_cell_angle_alpha 90.00
_cell_angle_beta 90.00
_cell_angle_gamma 90.00
loop_
_space_group_symop_operation_xyz
'x,y,z'
'-x,-y,-z'
'-x,-y,z'
'x,y,-z'
'x,-y,-z'
'-x,y,z'
'-x,y,-z'
'x,-y,z'
loop_
_atom_site_label
_atom_site_type_symbol
_atom_site_fract_x
_atom_site_fract_y
_atom_site_fract_z
Al1 Al 0.000 0.000 0.000
Tl1 Tl 0.500 0.500 0.000
Cd1 Cd 0.000 0.500 0.500
Cd2 Cd 0.500 0.000 0.500
```

---

ii.
The following is a GGA-PBEsol calculation of a geometry-optimized AlTlCd2 structure, from Alexandria.

CIF file:
```
data_AlTlCd2
_chemical_formula_sum 'Al2 Tl2 Cd4'
_space_group_name_H-M_alt 'I m m m'
_space_group_IT_number 71
_space_group_name_Hall '-I 2 2'
_cell_length_a 3.058
_cell_length_b 5.261
_cell_length_c 11.084
_cell_angle_alpha 90.00
_cell_angle_beta 90.00
_cell_angle_gamma 90.00
loop_
_atom_site_label
_atom_site_type_symbol
_atom_site_fract_x
_atom_site_fract_y
_atom_site_fract_z
Al1 Al 0.000 0.000 0.000
Tl1 Tl 0.000 0.000 0.500
Cd1 Cd 0.000 0.500 0.273
```

---

iii.
The following is a GGA-PBEsol calculation of a geometry-optimized AlTlCd2 structure, from Alexandria.

CIF file:
```
data_AlTlCd2
_chemical_formula_sum 'Al1 Tl1 Cd2'
_space_group_name_H-M_alt 'P 4 m m'
_space_group_IT_number 99
_cell_length_a 3.137
_cell_length_b 3.137
_cell_length_c 8.941
_cell_angle_alpha 90.00
_cell_angle_beta 90.00
_cell_angle_gamma 90.00
loop_
_space_group_symop_operation_xyz
'x,y,z'
'-y,x,z'
'-x,-y,z'
'y,-x,z'
'-x,y,z'
'y,x,z'
'x,-y,z'
'-y,-x,z'
loop_
_atom_site_label
_atom_site_type_symbol
_atom_site_fract_x
_atom_site_fract_y
_atom_site_fract_z
Al1 Al 0.000 0.000 0.000
Tl1 Tl 0.500 0.500 0.738
Cd1 Cd 0.000 0.000 0.461
Cd2 Cd 0.500 0.500 0.221
```

---

iv.
The following is a GGA-PBEsol calculation of a geometry-optimized AlTlCd2 structure, from Alexandria.

CIF file:
```
data_AlTlCd2
_chemical_formula_sum 'Al1 Tl1 Cd2'
_space_group_name_H-M_alt 'P 4/m m m'
_space_group_IT_number 123
_space_group_name_Hall '-P 4 2'
_cell_length_a 3.190
_cell_length_b 3.190
_cell_length_c 8.573
_cell_angle_alpha 90.00
_cell_angle_beta 90.00
_cell_angle_gamma 90.00
loop_
_atom_site_label
_atom_site_type_symbol
_atom_site_fract_x
_atom_site_fract_y
_atom_site_fract_z
Al1 Al 0.000 0.000 0.000
Tl1 Tl 0.000 0.000 0.500
Cd1 Cd 0.500 0.500 0.221
```

---

Which is the most stable structure? iv is the most stable.